Crystalline Pa2ReHg at its relaxed geometry, computed with GGA-PBE.

Cell and atoms, written as POSCAR:
```
Pa2ReHg
1.0
3.201 0.000 0.000
0.000 3.201 0.000
0.000 0.000 8.837
Re Pa Hg
1 2 1
direct
0.500 0.500 0.000 Re
0.000 0.000 0.787 Pa
0.000 0.000 0.213 Pa
0.500 0.500 0.500 Hg
```

Results
crystal system = tetragonal
ΔH_f (0 K) = -0.3 eV per formula unit
space-group type = P4/mmm
total magnetic moment = 0.00 μB/cell
polymorph energy (0 for the lowest one) = 0 meV per atom

---

Crystalline Nd14SmPu at its relaxed geometry, computed with GGA-PBE.

Cell and atoms, written as POSCAR:
```
Nd14SmPu
1.0
7.265 0.973 0.000
-0.976 7.264 0.000
0.000 0.000 10.333
Nd Sm Pu
14 1 1
direct
0.375 0.625 0.500 Nd
0.875 0.125 0.500 Nd
0.875 0.625 0.000 Nd
0.875 0.625 0.500 Nd
0.375 0.125 0.000 Nd
0.375 0.125 0.500 Nd
0.627 0.877 0.754 Nd
0.627 0.877 0.246 Nd
0.123 0.373 0.754 Nd
0.123 0.373 0.246 Nd
0.123 0.877 0.753 Nd
0.123 0.877 0.247 Nd
0.627 0.373 0.754 Nd
0.627 0.373 0.246 Nd
0.375 0.625 0.000 Sm
0.875 0.125 0.000 Pu
```

Results
crystal system = tetragonal
ΔH_f (0 K) = 0.7 eV per formula unit
space-group type = P4/mmm
total magnetic moment = 6.66 μB/cell

---

Crystalline PmEuHoTh at its relaxed geometry, computed with GGA-PBE.

Cell and atoms, written as POSCAR:
```
PmEuHoTh
1.0
-1.819 3.845 3.911
-5.029 2.742 -0.766
-4.512 -1.240 3.390
Eu Ho Th Pm
1 1 1 1
direct
0.000 0.000 0.000 Eu
0.750 0.750 0.750 Ho
0.500 0.500 0.500 Th
0.250 0.250 0.250 Pm
```

Results
crystal system = cubic
ΔH_f (0 K) = 0.9 eV per formula unit
space-group type = F-43m
total magnetic moment = 6.80 μB/cell

---

Crystalline NaNdTl6 at its relaxed geometry, computed with GGA-PBE.

Cell and atoms, written as POSCAR:
```
NaNdTl6
1.0
-2.395 -4.249 -0.613
4.217 -3.016 4.431
-4.207 1.634 5.113
Na Nd Tl
1 1 6
direct
0.500 0.500 0.500 Na
0.500 0.000 0.000 Nd
0.000 0.750 0.250 Tl
0.000 0.250 0.750 Tl
0.000 0.750 0.750 Tl
0.000 0.250 0.250 Tl
0.500 0.500 0.000 Tl
0.500 0.000 0.500 Tl
```

Results
crystal system = tetragonal
ΔH_f (0 K) = -1.2 eV per formula unit
space-group type = P4/mmm
total magnetic moment = 0.00 μB/cell